Entry 1:
{
  "formula": "Sm5TmTe4",
  "functional": "PBE-GGA",
  "state": "relaxed",
  "raw_formation_energy_ev_per_atom": -0.961,
  "volume_a3_per_cell": 329,
  "e_tot_ev_per_atom": -5.02,
  "cell": [[9.2618, -2.1068, 0.0000], [9.2618, 2.1068, 0.0000], [-1.7631, 0.0000, 8.4239]],
  "species": ["Sm", "Sm", "Sm", "Sm", "Sm", "Tm", "Te", "Te", "Te", "Te"],
  "frac_coords": [[0.0000, 0.0000, 0.0000], [0.3157, 0.3157, 0.1407], [0.3331, 0.3331, 0.7019], [0.6669, 0.6669, 0.2981], [0.6843, 0.6843, 0.8593], [0.0000, 0.0000, 0.5000], [0.1644, 0.1644, 0.5708], [0.4919, 0.4919, 0.2534], [0.5081, 0.5081, 0.7466], [0.8356, 0.8356, 0.4292]]
}



Entry 2:
{
  "formula": "Nd5DyTm2",
  "functional": "PBE-GGA",
  "state": "relaxed",
  "polymorph_energy_mev_per_atom": 119.6,
  "volume_a3_per_cell": 551,
  "e_tot_ev_per_atom": -4.44,
  "ef_ev_per_atom": 0.237,
  "cell": [[6.5036, -7.9398, 0.0000], [6.5036, 7.9398, 0.0000], [-2.7436, 0.0000, 5.3374]],
  "species": ["Nd", "Nd", "Nd", "Nd", "Nd", "Nd", "Nd", "Nd", "Nd", "Nd", "Dy", "Dy", "Tm", "Tm", "Tm", "Tm"],
  "frac_coords": [[0.0431, 0.3351, 0.9391], [0.2011, 0.7989, 0.7500], [0.2847, 0.3929, 0.5887], [0.3351, 0.0431, 0.4391], [0.3929, 0.2847, 0.0887], [0.6071, 0.7153, 0.9113], [0.6649, 0.9569, 0.5609], [0.7153, 0.6071, 0.4113], [0.7989, 0.2011, 0.2500], [0.9569, 0.6649, 0.0609], [0.3435, 0.6565, 0.2500], [0.6565, 0.3435, 0.7500], [0.0000, 0.0000, 0.0000], [0.0000, 0.0000, 0.5000], [0.0000, 0.5000, 0.5000], [0.5000, 0.0000, 0.0000]]
}



Entry 3:
{
  "formula": "CaZnRu2",
  "functional": "PBE-GGA",
  "state": "relaxed",
  "volume_a3_per_cell": 68,
  "e_tot_ev_per_atom": -5.04,
  "ef_ev_per_atom": 0.420,
  "cell": [[1.4600, 0.8429, 9.2526], [-1.4600, 0.8429, 9.2526], [0.0000, -1.6859, 9.2526]],
  "species": ["Ca", "Zn", "Ru", "Ru"],
  "frac_coords": [[0.0000, 0.0000, 0.0000], [0.7635, 0.7635, 0.7635], [0.2445, 0.2445, 0.2445], [0.5068, 0.5068, 0.5068]]
}